No. 1
# KZrAg2

A relaxed KZrAg2 crystal (PBE, the Alexandria database).

Cell: 2.9283 5.5121 11.9197 Å, 90.00 90.00 90.00°
Positions (direct):
K 0.0000 0.0000 0.0000
K 0.5000 0.5000 0.5000
Zr 0.0000 0.5000 0.7981
Zr 0.5000 0.0000 0.2981
Ag 0.0000 0.0000 0.5239
Ag 0.0000 0.5000 0.2347
Ag 0.5000 0.0000 0.7347
Ag 0.5000 0.5000 0.0239

Calculated values
Relative energy among the computed polymorphs ... 0.221 eV per atom
Calculated formation energy ... 0.3424 eV per atom

No. 2
# LaHf2GaTc

A relaxed LaHf2GaTc crystal (PBE, the Alexandria database).

Cell: 4.9135 4.9135 5.5669 Å, 90.00 90.00 90.00°
Positions (direct):
La 0.0000 0.0000 0.0000
Hf 0.0000 0.5000 0.5000
Hf 0.5000 0.0000 0.5000
Ga 0.0000 0.0000 0.5000
Tc 0.5000 0.5000 0.0000

Calculated values
Calculated formation energy ... 1.0077 eV per atom

No. 3
# SrLiHgPd

A relaxed SrLiHgPd crystal (PBE, the Alexandria database).

Cell: 8.1504 4.7183 5.8100 Å, 90.00 118.12 90.00°
Positions (direct):
Sr 0.0000 0.0000 0.0000
Sr 0.5000 0.5000 0.0000
Li 0.1942 0.0000 0.5842
Li 0.6942 0.5000 0.5842
Hg 0.4976 0.0000 0.4930
Hg 0.9976 0.5000 0.4930
Pd 0.2952 0.5000 0.3848
Pd 0.7952 0.0000 0.3848

Calculated values
Calculated formation energy ... -0.4376 eV per atom

No. 4
# Dy2TmAl

A relaxed Dy2TmAl crystal (PBE, the Alexandria database).

Cell: 7.5192 7.5192 7.5192 Å, 90.00 90.00 90.00°
Positions (direct):
Dy 0.2500 0.2500 0.2500
Dy 0.2500 0.2500 0.7500
Dy 0.2500 0.7500 0.2500
Dy 0.2500 0.7500 0.7500
Dy 0.7500 0.2500 0.2500
Dy 0.7500 0.2500 0.7500
Dy 0.7500 0.7500 0.2500
Dy 0.7500 0.7500 0.7500
Tm 0.0000 0.0000 0.0000
Tm 0.0000 0.5000 0.5000
Tm 0.5000 0.0000 0.5000
Tm 0.5000 0.5000 0.0000
Al 0.0000 0.0000 0.5000
Al 0.0000 0.5000 0.0000
Al 0.5000 0.0000 0.0000
Al 0.5000 0.5000 0.5000

Calculated values
Relative energy among the computed polymorphs ... 0.130 eV per atom
Calculated formation energy ... -0.0688 eV per atom

No. 5
# Dy2YScTe4

A relaxed Dy2YScTe4 crystal (PBE, the Alexandria database).

Cell: 7.4833 4.2797 7.5025 Å, 90.00 109.04 90.00°
Positions (direct):
Dy 0.0000 0.0000 0.0000
Dy 0.0000 0.5000 0.5000
Y 0.5000 0.0000 0.5000
Sc 0.5000 0.5000 0.0000
Te 0.2542 0.5000 0.2447
Te 0.2592 0.0000 0.7597
Te 0.7408 0.0000 0.2403
Te 0.7458 0.5000 0.7553

Calculated values
E_form (uncorrected) ... -9.87 eV per formula unit

No. 6
# Tl5Zn

A relaxed Tl5Zn crystal (PBE, the Alexandria database).

Cell: 11.8953 3.5934 8.3850 Å, 90.00 106.63 90.00°
Positions (direct):
Tl 0.0000 0.0000 0.0000
Tl 0.0236 0.0000 0.4215
Tl 0.1648 0.5000 0.7790
Tl 0.3005 0.0000 0.1370
Tl 0.3606 0.0000 0.6321
Tl 0.5000 0.5000 0.0000
Tl 0.5236 0.5000 0.4215
Tl 0.6648 0.0000 0.7790
Tl 0.8005 0.5000 0.1370
Tl 0.8606 0.5000 0.6321
Zn 0.2055 0.5000 0.3506
Zn 0.7055 0.0000 0.3506

Calculated values
Relative energy among the computed polymorphs ... 0.007 eV per atom
Calculated formation energy ... 0.0719 eV per atom

Please write out number 3 again, unchanged.
# SrLiHgPd

A relaxed SrLiHgPd crystal (PBE, the Alexandria database).

Cell: 8.1504 4.7183 5.8100 Å, 90.00 118.12 90.00°
Positions (direct):
Sr 0.0000 0.0000 0.0000
Sr 0.5000 0.5000 0.0000
Li 0.1942 0.0000 0.5842
Li 0.6942 0.5000 0.5842
Hg 0.4976 0.0000 0.4930
Hg 0.9976 0.5000 0.4930
Pd 0.2952 0.5000 0.3848
Pd 0.7952 0.0000 0.3848

Calculated values
Calculated formation energy ... -0.4376 eV per atom